Model 1:
Here is a relaxed structure of Rb2CO from Alexandria via LeMat-Bulk. Energies are from PBE.

Values from the calculation:
ρ = 2.97 g/cm³

Unit cell a=8.2437 b=8.2437 c=8.2437 alpha=92.47 beta=92.47 gamma=156.04
With the nearest neighbours (Å) after each atom.
Positions (direct):
Rb (0.3750, 0.1290, 0.2540)  2 O 2.88, 2 C 3.13
Rb (0.8710, 0.1250, 0.2460)  2 O 2.88, 2 C 3.13
Rb (0.8750, 0.1210, 0.7460)  2 O 2.88, 2 C 3.13
Rb (0.8790, 0.6250, 0.7540)  2 O 2.88, 2 C 3.13
C (0.2500, 0.7500, 0.5000)  2 O 1.71
C (0.5000, 0.5000, 0.0000)  2 O 1.71
O (0.0000, 0.0000, 0.0000)  2 C 1.71
O (0.7500, 0.2500, 0.5000)  2 C 1.71

Model 2:
Here is a relaxed structure of Rb2CO from Alexandria via LeMat-Bulk. Energies are from PBE.

Values from the calculation:
ρ = 3.41 g/cm³

Unit cell a=5.1570 b=5.1570 c=5.1570 alpha=60.00 beta=60.00 gamma=60.00
With the nearest neighbours (Å) after each atom.
Positions (direct):
Rb (0.2500, 0.2500, 0.2500)  4 O 3.16, 4 C 3.16
Rb (0.7500, 0.7500, 0.7500)  4 O 3.16, 4 C 3.16
C (0.0000, 0.0000, 0.0000)  8 Rb 3.16
O (0.5000, 0.5000, 0.5000)  8 Rb 3.16

Q: What are the energies relative to the best structure? A: model 1 0.0; model 2 23.6, in kJ/mol of atoms.